A plane-wave DFT calculation with PBE+U was carried out for a relaxed Co3OF5 crystal.

```
data_Co3OF5
_space_group_name_H-M_alt 'P 1'
_space_group_IT_number 1
_cell_length_a 4.7319
_cell_length_b 5.6660
_cell_length_c 7.8344
_cell_angle_alpha 86.46
_cell_angle_beta 88.74
_cell_angle_gamma 88.00
loop_
_space_group_symop_operation_xyz
'x,y,z'
loop_
_atom_site_label
_atom_site_fract_x
_atom_site_fract_y
_atom_site_fract_z
Co1 0.0000 0.0000 0.0000
Co2 0.0036 0.3256 0.6661
Co3 0.0163 0.6741 0.3176
Co4 0.5114 0.8246 0.6585
Co5 0.5329 0.1570 0.3171
Co6 0.5430 0.4744 0.9837
O1 0.8148 0.2720 0.9037
O2 0.8322 0.9665 0.2063
F1 0.2042 0.0199 0.7749
F2 0.2126 0.3632 0.4270
F3 0.2285 0.7057 0.0750
F4 0.3129 0.2114 0.0905
F5 0.3235 0.8642 0.4254
F6 0.3238 0.5176 0.7601
F7 0.7054 0.4739 0.2209
F8 0.7126 0.1237 0.5592
F9 0.7239 0.7726 0.8859
F10 0.8222 0.6259 0.5559
```

Values from the calculation:
**Excess energy over the best structure of this formula in the dataset**: 0.166 eV per formula unit
**E**: -46.19 eV/f.u.
**Symmetry**: P1
**Spin magnetization**: 8.97 μB/f.u.